(1)
## KCo2Sb (PBE)

Data for KCo2Sb after structural relaxation.

The space group is I4_1/amd (No. 141, origin choice 2) and the conventional cell measures 4.911, 4.911 and 17.415 Å, with angles of 90.00, 90.00 and 90.00 degrees. The inequivalent atoms are K at (0.000, 0.250, 0.375), Co at (0.000, 0.000, 0.000) and Sb at (0.000, 0.250, 0.875).

As for the crystal system: tetragonal. The calculation puts the excess energy over the best structure of this formula in the dataset at 0.385 eV per atom. As for the formation energy (no corrections): 0.4869 eV/atom.

=====

(2)
## Th2BiPd2 (PBE)

Data for Th2BiPd2 after structural relaxation.

The space group is P4/mbm (No. 127) and the conventional cell measures 7.894, 7.894 and 4.000 Å, with angles of 90.00, 90.00 and 90.00 degrees. The inequivalent atoms are Th at (0.174, 0.326, 0.000), Bi at (0.000, 0.000, 0.500) and Pd at (0.125, 0.625, 0.500).

As for the formation energy: -808 meV/atom. As for the crystal system: tetragonal.

=====

(3)
## CsK2Pu2O7 (PBE)

Data for CsK2Pu2O7 after structural relaxation.

The space group is I4/mmm (No. 139) and the conventional cell measures 4.344, 4.344 and 22.148 Å, with angles of 90.00, 90.00 and 90.00 degrees. The inequivalent atoms are Cs at (0.000, 0.000, 0.000), K at (0.000, 0.000, 0.190), Pu at (0.000, 0.000, 0.401), O at (0.000, 0.000, 0.314), O at (0.000, 0.000, 0.500) and O at (0.000, 0.500, 0.100).

As for the crystal system: tetragonal. As for the formation energy (no corrections): -2.3622 eV/atom.

=====

(4)
## MoAsIr3 (PBE)

Data for MoAsIr3 after structural relaxation.

The space group is Pm-3m (No. 221) and the conventional cell measures 4.545, 4.545 and 4.545 Å, with angles of 90.00, 90.00 and 90.00 degrees. The inequivalent atoms are Mo at (0.000, 0.000, 0.000), As at (0.500, 0.500, 0.500) and Ir at (0.000, 0.500, 0.500).

As for the formation energy: 1319 meV/atom. As for the crystal system: cubic. The calculation puts the excess energy over the best structure of this formula in the dataset at 0.000 eV per atom.

=====

(5)
## YAl3Fe (PBE)

Data for YAl3Fe after structural relaxation.

The space group is Cmcm (No. 63) and the conventional cell measures 5.820, 11.707 and 5.243 Å, with angles of 90.00, 90.00 and 90.00 degrees. The inequivalent atoms are Y at (0.000, 0.107, 0.250), Al at (0.000, 0.322, 0.750), Al at (0.239, 0.370, 0.250) and Fe at (0.000, 0.500, 0.000).

As for the formation energy: -334 meV/atom. As for the crystal system: orthorhombic.

=====

(6)
## BaReCl4 (PBE)

Data for BaReCl4 after structural relaxation.

The space group is F-43m (No. 216) and the conventional cell measures 8.709, 8.709 and 8.709 Å, with angles of 90.00, 90.00 and 90.00 degrees. The inequivalent atoms are Ba at (0.000, 0.000, 0.000), Re at (0.250, 0.250, 0.250) and Cl at (0.125, 0.125, 0.625).

As for the crystal system: cubic. As for the formation energy (no corrections): 0.2887 eV/atom.

=====

(7)
## PaSe2I8 (PBE)

Data for PaSe2I8 after structural relaxation.

The space group is C2/m (No. 12) and the conventional cell measures 12.588, 13.438 and 8.115 Å, with angles of 90.00, 117.72 and 90.00 degrees. The inequivalent atoms are Pa at (0.000, 0.000, 0.000), Se at (0.113, 0.000, 0.771), I at (0.068, 0.193, 0.834), I at (0.122, 0.500, 0.030) and I at (0.232, 0.000, 0.334).

As for the crystal system: monoclinic. The calculation puts the excess energy over the best structure of this formula in the dataset at 0.000 eV per atom. As for the formation energy (no corrections): -0.4337 eV/atom.

=====

(8)
## RbCeIn2I6 (PBE)

Data for RbCeIn2I6 after structural relaxation.

The space group is R3 (No. 146, hexagonal axes) and the conventional cell measures 8.7458, 8.7458 and 23.1175 Å, with angles of 90.00, 90.00 and 120.00 degrees. The inequivalent atoms are Rb at (0.0000, 0.0000, 0.0000), Ce at (0.0000, 0.0000, 0.4879), In at (0.0000, 0.0000, 0.2942), In at (0.0000, 0.0000, 0.8052), I at (0.0156, 0.3751, 0.2267) and I at (0.0233, 0.7311, 0.4006).

As for the crystal system: trigonal. As for the formation energy (no corrections): -1.0236 eV/atom.

=====

(9)
## TbY2Th4 (PBE)

Data for TbY2Th4 after structural relaxation.

The space group is P4_2/mnm (No. 136) and the conventional cell measures 9.278, 9.278 and 5.645 Å, with angles of 90.00, 90.00 and 90.00 degrees. The inequivalent atoms are Tb at (0.000, 0.000, 0.000), Y at (0.177, 0.177, 0.500) and Th at (0.113, 0.373, 0.000).

As for the formation energy: 325 meV/atom. As for the crystal system: tetragonal.

=====

(10)
## Tm3Cu2Rh2 (PBE)

Data for Tm3Cu2Rh2 after structural relaxation.

The space group is P-1 (No. 2) and the conventional cell measures 3.708, 4.119 and 9.365 Å, with angles of 77.34, 78.59 and 89.98 degrees. The inequivalent atoms are Tm at (0.000, 0.000, 0.000), Tm at (0.189, 0.688, 0.623), Cu at (0.435, 0.435, 0.130) and Rh at (0.350, 0.851, 0.298).

As for the formation energy: -604 meV/atom. As for the crystal system: triclinic.

=====

(11)
## Tm4ThSc3 (PBE)

Data for Tm4ThSc3 after structural relaxation.

The space group is Pmmn (No. 59, origin choice 2) and the conventional cell measures 6.852, 9.625 and 6.803 Å, with angles of 90.00, 90.00 and 90.00 degrees. The inequivalent atoms are Tm at (0.000, 0.000, 0.000), Tm at (0.250, 0.250, 0.254), Tm at (0.250, 0.250, 0.744), Th at (0.250, 0.750, 0.260), Sc at (0.000, 0.000, 0.500) and Sc at (0.250, 0.750, 0.749).

As for the formation energy: 37 meV/atom. As for the crystal system: orthorhombic. The calculation puts the excess energy over the best structure of this formula in the dataset at 0.000 eV per atom.

=====

(12)
## CsHf2As (PBE)

Data for CsHf2As after structural relaxation.

The space group is I4_1/amd (No. 141, origin choice 2) and the conventional cell measures 5.496, 5.496 and 19.058 Å, with angles of 90.00, 90.00 and 90.00 degrees. The inequivalent atoms are Cs at (0.000, 0.250, 0.375), Hf at (0.000, 0.000, 0.000) and As at (0.000, 0.250, 0.875).

As for the formation energy: 655 meV/atom. As for the crystal system: tetragonal.

=====

V readings, ordered: 26.3 24.9 17.4 18.8 17.9 27.5 55.2 51.0 34.7 19.5 28.0 36.0 A^3/atom
M_tot readings, ordered: 3.242 0.000 5.000 3.958 1.276 4.927 0.000 1.000 0.000 0.000 0.000 0.000 μB per formula unit
E_tot readings, ordered: -69.94 -66.30 -189.53 -35.47 -111.31 -80.10 -67.27 -95.74 -89.92 -40.54 -88.02 -91.17 eV per cell